No. 1
First-principles (GGA-PBE) data for LiLaCuPt2 after structural relaxation, as listed in Alexandria.

Structure (POSCAR):
```
LiLaCuPt2
1.0
3.966 0.000 0.000
0.000 3.966 0.000
0.000 0.000 12.088
Li La Cu Pt
2 2 2 4
Direct
0.000 0.000 0.000
0.500 0.500 0.500
0.000 0.500 0.250
0.500 0.000 0.750
0.000 0.000 0.500
0.500 0.500 0.000
0.000 0.500 0.638
0.000 0.500 0.862
0.500 0.000 0.138
0.500 0.000 0.362
```

Results
Energy relative to the elements   -0.707 eV per atom
Theoretical density   10.5 g/cm3
DOS(E_F)   3.3 states/eV/cell

No. 2
First-principles (GGA-PBE) data for LiLaCuPt3 after structural relaxation, as listed in Alexandria.

Structure (POSCAR):
```
LiLaCuPt3
1.0
2.906 -6.471 0.000
2.906 6.471 0.000
0.000 0.000 5.701
Li La Cu Pt
2 2 2 6
Direct
0.103 0.897 0.750
0.897 0.103 0.250
0.320 0.680 0.750
0.680 0.320 0.250
0.361 0.639 0.250
0.639 0.361 0.750
0.163 0.837 0.250
0.260 0.260 0.000
0.260 0.260 0.500
0.740 0.740 0.000
0.740 0.740 0.500
0.837 0.163 0.750
```

Results
Energy relative to the elements   -0.553 eV per atom
Theoretical density   12.3 g/cm3
DOS(E_F)   3.5 states/eV/cell

No. 3
First-principles (GGA-PBE) data for LiLa2CuPt6 after structural relaxation, as listed in Alexandria.

Structure (POSCAR):
```
LiLa2CuPt6
1.0
5.556 0.000 0.000
2.778 4.812 0.000
0.006 3.186 8.402
Li La Cu Pt
1 2 1 6
Direct
0.000 0.000 0.000
0.202 0.597 0.606
0.798 0.403 0.394
0.500 0.000 0.500
0.242 0.011 0.738
0.254 0.494 0.262
0.254 0.989 0.262
0.746 0.011 0.738
0.746 0.506 0.738
0.758 0.989 0.262
```

Results
Energy relative to the elements   -0.682 eV per atom
Theoretical density   11.2 g/cm3
DOS(E_F)   2.3 states/eV/cell

Number 1: calculated total energy -53.11 eV per cell. Number 2: calculated total energy -64.76 eV per cell. Number 3: calculated total energy -58.93 eV per cell.